Here is a relaxed Pm8Si3Sn2 crystal from the Alexandria database. Energies are from GGA-PBE.

Cell lengths 7.2006, 8.2448, 8.9458 Å; angles 117.44, 104.91, 90.00 degrees
Closest atoms and distances in Å follow each position.
Sites, in units of the cell vectors:
Pm 0.4007 0.3575 0.2139  2 Si 2.89, 1 Sn 3.22
Pm 0.9057 0.1094 0.2188  3 Si 2.92-2.93, 1 Sn 3.23
Pm 0.4007 0.8564 0.2139  2 Si 2.89, 1 Sn 3.22
Pm 0.0943 0.8906 0.7812  3 Si 2.92-2.93, 1 Sn 3.23
Pm 0.1123 0.3976 0.7952  2 Si 2.86, 1 Sn 3.18
Pm 0.5993 0.6425 0.7861  2 Si 2.89, 1 Sn 3.22
Pm 0.5993 0.1436 0.7861  2 Si 2.89, 1 Sn 3.22
Pm 0.8877 0.6024 0.2048  2 Si 2.86, 1 Sn 3.18
Si 0.0000 0.7469 0.0000  6 Pm 2.86-2.92
Si 0.5000 0.0000 0.0000  6 Pm 2.89-2.93
Si 0.0000 0.2531 0.0000  6 Pm 2.86-2.92
Sn 0.6689 0.7496 0.4993  6 Pm 3.18-3.25
Sn 0.3311 0.2504 0.5007  6 Pm 3.18-3.25

## Properties
Symmetry: C2/m, No. 12
Formation energy (no corrections), kJ per mole of atoms: -37.0